(P)
The following is a PBE calculation of an optimized crystal structure of KY2Zr, from the Alexandria database.

abc: 4.9223 4.9223 10.6433
angles: 90.00 90.00 90.00
With the nearest neighbours (Å) after each atom.
Space group I-4m2 (No. 119)
One atom of each set of equivalent atoms:
1 K 0.0000 0.0000 0.0000  8 Y 3.48-3.62, 4 Zr 3.62
2 Y 0.0000 0.0000 0.5000  4 K 3.48, 4 Zr 3.62, 4 Y 3.62
3 Y 0.0000 0.5000 0.7500  4 Zr 3.48, 4 Y 3.62, 4 K 3.62
4 Zr 0.0000 0.5000 0.2500  8 Y 3.48-3.62, 4 K 3.62

=====

(Q)
The following is a PBE calculation of an optimized crystal structure of KY2Zr, from the Alexandria database.

abc: 3.5011 3.4986 11.4972
angles: 90.00 90.10 90.00
With the nearest neighbours (Å) after each atom.
Space group P2/m (No. 10)
One atom of each set of equivalent atoms:
1 K 0.0000 0.0000 0.0000  4 K 3.50
2 Y 0.4994 0.5000 0.3107  4 Zr 3.30, 4 Y 3.50
3 Zr 0.0000 0.0000 0.5000  8 Y 3.30, 4 Zr 3.50

=====

(R)
The following is a PBE calculation of an optimized crystal structure of KY2Zr, from the Alexandria database.

abc: 3.6291 4.4209 9.1836
angles: 90.00 90.00 90.00
With the nearest neighbours (Å) after each atom.
Space group Pmm2 (No. 25)
One atom of each set of equivalent atoms:
1 K 0.0000 0.0000 0.0000  2 K 3.63, 4 Zr 3.98
2 Y 0.0000 0.0000 0.5509  4 Zr 3.16, 4 Y 3.45
3 Y 0.5000 0.5000 0.3409  1 Zr 3.28, 6 Y 3.45-3.63
4 Zr 0.5000 0.5000 0.6986  5 Y 3.16-3.28

=====

Result of the stability comparison: (P) is the least stable of them.

=====

(P)
The following is a PBE calculation of an optimized crystal structure of KZn5, from the Alexandria database.

abc: 12.3904 2.8332 6.7716
angles: 90.00 91.87 90.00
With the nearest neighbours (Å) after each atom.
Space group Cm (No. 8)
One atom of each set of equivalent atoms:
1 K 0.0000 0.0000 0.0000  2 K 2.83, 1 Zn 3.17
2 Zn 0.0937 0.5000 0.5052  8 Zn 2.66-2.83
3 Zn 0.2445 0.5000 0.9979  4 Zn 2.52-2.53
4 Zn 0.2488 0.0000 0.3070  7 Zn 2.53-2.77
5 Zn 0.2582 0.0000 0.6914  7 Zn 2.52-2.75
6 Zn 0.4121 0.5000 0.4947  8 Zn 2.66-2.83

=====

(Q)
The following is a PBE calculation of an optimized crystal structure of KZn5, from the Alexandria database.

abc: 5.8200 5.8200 4.1354
angles: 90.00 90.00 120.00
With the nearest neighbours (Å) after each atom.
Space group P6/mmm (No. 191)
One atom of each set of equivalent atoms:
1 K 0.0000 0.0000 0.0000  18 Zn 3.36-3.57
2 Zn 0.0000 0.5000 0.5000  8 Zn 2.66-2.91
3 Zn 0.3333 0.6667 0.0000  6 Zn 2.66

=====

Result of the stability comparison: (P) is the least stable of them.

=====

(P)
The following is a PBE calculation of an optimized crystal structure of KZrZn, from the Alexandria database.

abc: 3.3553 3.3553 8.3666
angles: 90.00 90.00 120.00
With the nearest neighbours (Å) after each atom.
Space group P3m1 (No. 156)
One atom of each set of equivalent atoms:
1 K 0.0000 0.0000 0.0000  6 K 3.36, 3 Zn 3.45
2 Zr 0.6667 0.3333 0.5907  3 Zn 2.85
3 Zn 0.3333 0.6667 0.3409  3 Zr 2.85

=====

(Q)
The following is a PBE calculation of an optimized crystal structure of KZrZn, from the Alexandria database.

abc: 5.4458 5.4458 2.8074
angles: 90.00 90.00 120.00
With the nearest neighbours (Å) after each atom.
Space group P-6m2 (No. 187)
One atom of each set of equivalent atoms:
1 K 0.0000 0.0000 0.0000  2 K 2.81, 3 Zr 3.14
2 Zr 0.3333 0.6667 0.0000  2 Zr 2.81, 3 K 3.14
3 Zn 0.6667 0.3333 0.5000  2 Zn 2.81

=====

Result of the stability comparison: (Q) is the least stable of them.

=====

(P)
The following is a PBE calculation of an optimized crystal structure of KZrZn, from the Alexandria database.

abc: 3.3843 3.3843 14.9730
angles: 90.00 90.00 90.00
With the nearest neighbours (Å) after each atom.
Space group I4mm (No. 107)
One atom of each set of equivalent atoms:
1 K 0.0000 0.0000 0.0000  4 K 3.38, 4 Zn 3.58
2 Zr 0.0000 0.0000 0.2719  4 Zn 2.78
3 Zn 0.0000 0.0000 0.6779  4 Zr 2.78

=====

(Q)
The following is a PBE calculation of an optimized crystal structure of KZrZn, from the Alexandria database.

abc: 6.9278 6.9278 6.9278
angles: 90.00 90.00 90.00
With the nearest neighbours (Å) after each atom.
Space group F-43m (No. 216)
One atom of each set of equivalent atoms:
1 K 0.0000 0.0000 0.0000  4 Zr 3.00, 4 Zn 3.00
2 Zr 0.2500 0.2500 0.2500  4 K 3.00
3 Zn 0.2500 0.2500 0.7500  4 K 3.00

=====

(R)
The following is a PBE calculation of an optimized crystal structure of KZrZn, from the Alexandria database.

abc: 7.0807 7.0807 7.0807
angles: 90.00 90.00 90.00
With the nearest neighbours (Å) after each atom.
Space group F-43m (No. 216)
One atom of each set of equivalent atoms:
1 K 0.0000 0.0000 0.0000  4 Zn 3.07
2 Zr 0.0000 0.0000 0.5000  4 Zn 3.07
3 Zn 0.2500 0.2500 0.2500  4 Zr 3.07, 4 K 3.07

=====

Result of the stability comparison: (Q) is the least stable of them.

=====

(P)
The following is a PBE calculation of an optimized crystal structure of K2Zr, from the Alexandria database.

abc: 21.4146 3.3514 8.5353
angles: 90.00 110.94 90.00
With the nearest neighbours (Å) after each atom.
Space group C2/m (No. 12)
One atom of each set of equivalent atoms:
1 K 0.0768 0.0000 0.3529  2 K 3.35, 1 Zr 3.71
2 K 0.1442 0.5000 0.9204  2 K 3.35
3 Zr 0.2478 0.5000 0.6324  2 Zr 2.84

=====

(Q)
The following is a PBE calculation of an optimized crystal structure of K2Zr, from the Alexandria database.

abc: 7.0622 7.0622 3.1445
angles: 90.00 90.00 90.00
With the nearest neighbours (Å) after each atom.
Space group P4/mmm (No. 123)
One atom of each set of equivalent atoms:
1 K 0.0000 0.5000 0.0000  2 K 3.14
2 Zr 0.0000 0.0000 0.5000  2 Zr 3.14

=====

Result of the stability comparison: (Q) is the least stable of them.

=====

(P)
The following is a PBE calculation of an optimized crystal structure of K2Zr, from the Alexandria database.

abc: 6.5606 6.5606 13.2948
angles: 90.00 90.00 120.00
With the nearest neighbours (Å) after each atom.
Space group P6_3/mmc (No. 194)
One atom of each set of equivalent atoms:
1 K 0.0000 0.0000 0.0000  6 Zr 3.79, 6 K 3.85
2 K 0.1710 0.3419 0.2500  4 K 3.20-3.36
3 Zr 0.3333 0.6667 0.5165  6 K 3.79-3.99, 3 Zr 3.81

=====

(Q)
The following is a PBE calculation of an optimized crystal structure of K2Zr, from the Alexandria database.

abc: 3.4740 3.4740 10.9531
angles: 90.00 90.00 120.00
With the nearest neighbours (Å) after each atom.
Space group P-3m1 (No. 164)
One atom of each set of equivalent atoms:
1 K 0.3333 0.6667 0.3045  6 K 3.47
2 Zr 0.0000 0.0000 0.0000  6 Zr 3.47

=====

(R)
The following is a PBE calculation of an optimized crystal structure of K2Zr, from the Alexandria database.

abc: 10.2807 10.2807 5.3376
angles: 90.00 90.00 90.00
With the nearest neighbours (Å) after each atom.
Space group I4/mcm (No. 140)
One atom of each set of equivalent atoms:
1 K 0.1583 0.3417 0.0000  6 K 3.77-4.21, 4 Zr 4.09
2 Zr 0.0000 0.0000 0.2500  2 Zr 2.67

=====

Result of the stability comparison: (P) is the least stable of them.